[1]
VASP calculation (PBE) on a geometry-optimized Pm2Sm4DyTm2 structure.

a = 5.085 Å, b = 8.046 Å, c = 8.013 Å
α = 107.56°, β = 90.00°, γ = 108.42°
Positions (direct):
Tm  0.333  0.666  0.000
Tm  0.667  0.334  0.000
Sm  0.555  0.110  0.331
Sm  0.778  0.557  0.670
Sm  0.222  0.443  0.330
Sm  0.445  0.890  0.669
Pm  0.888  0.777  0.331
Pm  0.112  0.223  0.669
Dy  0.000  0.000  0.000

## Properties
Its space group is C2/m, No. 12. The density comes out at 7.84 g cm⁻³.



[2]
VASP calculation (PBE) on a geometry-optimized Pm6SmDyTm2 structure.

a = 9.594 Å, b = 8.894 Å, c = 8.894 Å
α = 117.20°, β = 93.60°, γ = 93.60°
Positions (direct):
Pm  0.555  0.760  0.114
Pm  0.382  0.514  0.294
Pm  0.618  0.486  0.706
Pm  0.684  0.010  0.560
Pm  0.316  0.990  0.440
Pm  0.816  0.440  0.990
Pm  0.118  0.706  0.486
Pm  0.055  0.114  0.760
Pm  0.882  0.294  0.514
Pm  0.184  0.560  0.010
Pm  0.445  0.240  0.886
Pm  0.945  0.886  0.240
Sm  0.750  0.030  0.970
Sm  0.250  0.970  0.030
Tm  0.048  0.300  0.202
Tm  0.952  0.700  0.798
Tm  0.452  0.798  0.700
Tm  0.548  0.202  0.300
Dy  0.750  0.590  0.410
Dy  0.250  0.410  0.590

## Properties
Its space group is C2/c, No. 15. The density comes out at 7.54 g cm⁻³.



[3]
VASP calculation (PBE) on a geometry-optimized Pm2Sm2DyTm2 structure.

a = 5.064 Å, b = 6.204 Å, c = 8.013 Å
α = 97.48°, β = 90.00°, γ = 114.09°
Positions (direct):
Pm  0.143  0.287  0.428
Pm  0.857  0.713  0.572
Sm  0.571  0.142  0.719
Sm  0.429  0.858  0.281
Dy  0.000  0.000  0.000
Tm  0.715  0.430  0.140
Tm  0.285  0.570  0.860

## Properties
Its space group is C2/m, No. 12. The density comes out at 7.96 g cm⁻³.



[4]
VASP calculation (PBE) on a geometry-optimized Pm3Sm6DyTm2 structure.

a = 6.247 Å, b = 6.247 Å, c = 11.917 Å
α = 95.00°, β = 95.00°, γ = 119.99°
Positions (direct):
Pm  0.500  0.500  0.500
Pm  0.833  0.167  0.500
Pm  0.167  0.833  0.500
Sm  0.918  0.584  0.754
Sm  0.584  0.918  0.754
Sm  0.082  0.416  0.246
Sm  0.416  0.082  0.246
Sm  0.251  0.251  0.754
Sm  0.749  0.749  0.246
Tm  0.667  0.333  0.000
Tm  0.333  0.667  0.000
Dy  0.000  0.000  0.000

## Properties
Its space group is C2/m, No. 12. The density comes out at 7.69 g cm⁻³.



Number 1: energy of formation 0.19 eV per formula unit, magnetic moment 0.000 μB/atom. Number 2: energy of formation 1.16 eV per formula unit, magnetic moment 0.000 μB/atom. Number 3: energy of formation 0.14 eV per formula unit, magnetic moment 0.000 μB/atom. Number 4: energy of formation 0.20 eV per formula unit, magnetic moment 0.000 μB/atom.